DFT (PBE) results for a relaxed BaAg3Bi2 crystal.

Structure (POSCAR):
```
BaAg3Bi2
1.0
4.785 0.000 0.000
-2.392 9.112 0.229
0.000 -3.897 7.768
Ba Ag Bi
2 6 4
Cartesian
2.392 2.898 7.391 Ba
0.000 2.317 0.606 Ba
0.000 3.464 4.284 Ag
2.392 5.983 4.894 Ag
2.392 -0.879 4.955 Ag
0.000 6.094 3.041 Ag
0.000 -0.768 3.103 Ag
2.392 1.751 3.713 Ag
0.000 5.578 6.450 Bi
2.392 -0.363 1.547 Bi
2.392 4.371 2.425 Bi
0.000 0.844 5.572 Bi
```

Computed properties:
Magnetic moment ... 0.00 μB per formula unit
Distance to the lowest polymorph of the same formula ... 0 meV per atom
ΔH_f (0 K) ... -0.2819 eV per atom